DFT (PBE) results for CeNd2Os after structural relaxation.

**E_form**: -0.11 eV/atom
**Magnetic moment**: 0.31 μB/cell

Cell lengths 3.9063, 6.5066, 9.6952 Å; angles 90.00, 90.00, 107.43 degrees
Last column: magnetic moment on the atom in μB.
Atoms (fractional coordinates):
Ce 0.4104 0.8214 0.2500  0.10
Ce 0.5896 0.1786 0.7500  0.10
Nd 0.1439 0.2874 0.4317  0.01
Nd 0.8561 0.7126 0.5683  0.01
Nd 0.8561 0.7126 0.9317  0.01
Nd 0.1439 0.2874 0.0683  0.01
Os 0.7679 0.5361 0.2500  -0.01
Os 0.2321 0.4639 0.7500  -0.01

---

DFT (PBE) results for Ce2NdOs2 after structural relaxation.

**E_form**: -0.05 eV/atom
**Magnetic moment**: 0.00 μB/cell

Cell lengths 4.5987, 4.5987, 7.0449 Å; angles 70.95, 70.95, 60.00 degrees
Atoms (fractional coordinates):
Ce 0.2178 0.7178 0.3465
Ce 0.7822 0.2822 0.6535
Nd 0.0000 0.5000 0.0000
Os 0.5703 0.0703 0.2890
Os 0.4297 0.9297 0.7110

---

DFT (PBE) results for Ce3NdOs after structural relaxation.

**E_form**: 0.08 eV/atom
**Magnetic moment**: 2.25 μB/cell

Cell lengths 5.4715, 5.4715, 5.4715 Å; angles 90.00, 90.00, 90.00 degrees
Last column: magnetic moment on the atom in μB.
Atoms (fractional coordinates):
Nd 0.5000 0.5000 0.5000  0.12
Os 0.0000 0.0000 0.0000  -0.06
Ce 0.0000 0.5000 0.0000  0.52
Ce 0.0000 0.0000 0.5000  0.52
Ce 0.5000 0.0000 0.0000  0.52

---

DFT (PBE) results for CeNd2Os after structural relaxation.

**E_form**: -0.14 eV/atom
**Magnetic moment**: 1.77 μB/cell

Cell lengths 6.5206, 7.2690, 9.8782 Å; angles 90.00, 90.00, 90.00 degrees
Last column: magnetic moment on the atom in μB.
Atoms (fractional coordinates):
Ce 0.6608 0.5544 0.2500  0.26
Ce 0.8392 0.0544 0.2500  0.26
Ce 0.3392 0.4456 0.7500  0.26
Ce 0.1608 0.9456 0.7500  0.26
Nd 0.1750 0.6703 0.0656  0.03
Nd 0.3250 0.1703 0.4344  0.03
Nd 0.8250 0.3297 0.5656  0.03
Nd 0.6750 0.8297 0.9344  0.03
Nd 0.8250 0.3297 0.9344  0.03
Nd 0.6750 0.8297 0.5656  0.03
Nd 0.1750 0.6703 0.4344  0.03
Nd 0.3250 0.1703 0.0656  0.03
Os 0.0122 0.3698 0.2500  -0.03
Os 0.4878 0.8698 0.2500  -0.03
Os 0.9878 0.6302 0.7500  -0.03
Os 0.5122 0.1302 0.7500  -0.03

---

DFT (PBE) results for Ce5Nd2Os4 after structural relaxation.

**E_form**: -0.02 eV/atom
**Magnetic moment**: 0.00 μB/cell

Cell lengths 6.4003, 7.4064, 7.0257 Å; angles 82.93, 62.90, 64.40 degrees
Atoms (fractional coordinates):
Ce 0.2543 0.1759 0.8101
Ce 0.7457 0.8241 0.1899
Ce 0.0000 0.5000 0.5000
Ce 0.7597 0.1759 0.8101
Ce 0.2403 0.8241 0.1899
Nd 0.3034 0.7038 0.6894
Nd 0.6966 0.2962 0.3106
Os 0.2850 0.1103 0.3197
Os 0.7150 0.8897 0.6803
Os 0.7793 0.5184 0.9230
Os 0.2207 0.4816 0.0770

---

DFT (PBE) results for CeNd2Os2 after structural relaxation.

**E_form**: -0.14 eV/atom
**Magnetic moment**: 0.00 μB/cell

Cell lengths 6.0127, 5.8883, 8.1844 Å; angles 99.77, 90.00, 120.70 degrees
Atoms (fractional coordinates):
Ce 0.8716 0.0000 0.2500
Ce 0.1284 0.0000 0.7500
Nd 0.5164 0.2995 0.1506
Nd 0.2169 0.7005 0.3494
Nd 0.4836 0.7005 0.8494
Nd 0.7831 0.2995 0.6506
Os 0.7229 0.7240 0.4895
Os 0.9989 0.2760 0.0105
Os 0.2771 0.2760 0.5105
Os 0.0011 0.7240 0.9895

---

DFT (PBE) results for CeNdOs2 after structural relaxation.

**E_form**: 0.41 eV/atom
**Magnetic moment**: 0.00 μB/cell

Cell lengths 3.3876, 3.3876, 8.9446 Å; angles 79.08, 79.08, 60.00 degrees
Atoms (fractional coordinates):
Nd 0.5000 0.5000 0.5000
Os 0.2548 0.2548 0.2355
Os 0.7452 0.7452 0.7645
Ce 0.0000 0.0000 0.0000

---

DFT (PBE) results for Ce12NdOs6 after structural relaxation.

**E_form**: -0.04 eV/atom
**Magnetic moment**: 0.05 μB/cell

Cell lengths 8.2099, 8.2099, 8.2099 Å; angles 104.93, 104.93, 104.93 degrees
Atoms (fractional coordinates):
Ce 0.8911 0.1089 0.5000
Ce 0.8293 0.5718 0.5718
Ce 0.5718 0.5718 0.8293
Ce 0.4282 0.1707 0.4282
Ce 0.4282 0.4282 0.1707
Ce 0.1707 0.4282 0.4282
Ce 0.1089 0.5000 0.8911
Ce 0.5000 0.8911 0.1089
Ce 0.1089 0.8911 0.5000
Ce 0.8911 0.5000 0.1089
Ce 0.5000 0.1089 0.8911
Ce 0.5718 0.8293 0.5718
Nd 0.0000 0.0000 0.0000
Os 0.7218 0.2773 0.2773
Os 0.2773 0.2773 0.7218
Os 0.2773 0.7218 0.2773
Os 0.7227 0.7227 0.2782
Os 0.2782 0.7227 0.7227
Os 0.7227 0.2782 0.7227

---

DFT (PBE) results for Ce2Nd3Os2 after structural relaxation.

**E_form**: -0.12 eV/atom
**Magnetic moment**: 0.29 μB/cell

Cell lengths 3.9165, 6.4446, 8.9632 Å; angles 104.71, 102.58, 107.73 degrees
Last column: magnetic moment on the atom in μB.
Atoms (fractional coordinates):
Ce 0.6449 0.4715 0.8176  0.10
Ce 0.3551 0.5285 0.1824  0.10
Nd 0.5000 0.0000 0.0000  0.01
Nd 0.1984 0.8195 0.5787  0.01
Nd 0.8016 0.1805 0.4213  0.01
Os 0.0269 0.8326 0.2213  -0.01
Os 0.9731 0.1674 0.7787  -0.01

---

DFT (PBE) results for CeNd3Os8 after structural relaxation.

**E_form**: -0.12 eV/atom
**Magnetic moment**: 0.00 μB/cell

Cell lengths 5.4342, 5.4342, 9.4196 Å; angles 73.23, 73.23, 60.00 degrees
Atoms (fractional coordinates):
Ce 0.8750 0.8750 0.3750
Nd 0.3749 0.3749 0.8753
Nd 0.0000 0.0000 0.0000
Nd 0.5002 0.5002 0.4994
Os 0.9364 0.4374 0.1888
Os 0.4388 0.9375 0.6862
Os 0.4374 0.4374 0.1888
Os 0.9375 0.9375 0.6862
Os 0.1875 0.1875 0.4374
Os 0.6874 0.6874 0.9378
Os 0.4374 0.9364 0.1888
Os 0.9375 0.4388 0.6862

---

DFT (PBE) results for CeNdOsPd after structural relaxation.

**E_form**: -0.35 eV/atom
**Magnetic moment**: 0.55 μB/cell

Cell lengths 5.0042, 5.0042, 5.0042 Å; angles 60.00, 60.00, 60.00 degrees
Last column: magnetic moment on the atom in μB.
Atoms (fractional coordinates):
Nd 0.7500 0.7500 0.7500  0.02
Os 0.5000 0.5000 0.5000  -0.06
Pd 0.0000 0.0000 0.0000  -0.01
Ce 0.2500 0.2500 0.2500  0.52

---

DFT (PBE) results for CeNdOsPt after structural relaxation.

**E_form**: -0.46 eV/atom
**Magnetic moment**: 0.42 μB/cell

Cell lengths 5.0051, 5.0051, 5.0051 Å; angles 60.00, 60.00, 60.00 degrees
Last column: magnetic moment on the atom in μB.
Atoms (fractional coordinates):
Nd 0.5000 0.5000 0.5000  0.01
Os 0.2500 0.2500 0.2500  -0.06
Ce 0.0000 0.0000 0.0000  0.41
Pt 0.7500 0.7500 0.7500  -0.01

---

DFT (PBE) results for CeNdOsRh after structural relaxation.

**E_form**: -0.31 eV/atom
**Magnetic moment**: 0.01 μB/cell

Cell lengths 4.9542, 4.9542, 4.9542 Å; angles 60.00, 60.00, 60.00 degrees
Atoms (fractional coordinates):
Nd 0.2500 0.2500 0.2500
Rh 0.0000 0.0000 0.0000
Os 0.5000 0.5000 0.5000
Ce 0.7500 0.7500 0.7500

---

DFT (PBE) results for Ce2NdTlOs after structural relaxation.

**E_form**: -0.09 eV/atom
**Magnetic moment**: 1.26 μB/cell

Cell lengths 5.2725, 5.2726, 5.7862 Å; angles 90.00, 90.00, 90.00 degrees
Last column: magnetic moment on the atom in μB.
Atoms (fractional coordinates):
Ce 0.0000 0.5000 0.0001  0.49
Ce 0.5000 0.0000 0.0001  0.49
Nd 0.0000 0.0000 0.5001  0.02
Tl 0.5000 0.5000 0.4997  0.00
Os 0.0000 0.0000 0.0001  -0.04

---

DFT (PBE) results for CeNdZnOs after structural relaxation.

**E_form**: -0.14 eV/atom
**Magnetic moment**: 0.02 μB/cell

Cell lengths 5.0299, 5.0299, 5.0299 Å; angles 60.00, 60.00, 60.00 degrees
Atoms (fractional coordinates):
Nd 0.2500 0.2500 0.2500
Zn 0.0000 0.0000 0.0000
Os 0.5000 0.5000 0.5000
Ce 0.7500 0.7500 0.7500

---

DFT (PBE) results for CeNdP2 after structural relaxation.

**E_form**: -1.53 eV/atom
**Magnetic moment**: 0.49 μB/cell

Cell lengths 4.1281, 4.1281, 7.1525 Å; angles 73.21, 73.21, 60.00 degrees
Last column: magnetic moment on the atom in μB.
Atoms (fractional coordinates):
Ce 0.0000 0.0000 0.0000  0.44
Nd 0.5000 0.5000 0.5000  0.01
P 0.7474 0.7474 0.7580  -0.01
P 0.2526 0.2526 0.2420  -0.01

---

DFT (PBE) results for CeNd3P4 after structural relaxation.

**E_form**: -1.54 eV/atom
**Magnetic moment**: 0.44 μB/cell

Cell lengths 4.1459, 7.1784, 7.1784 Å; angles 109.39, 90.00, 90.00 degrees
Last column: magnetic moment on the atom in μB.
Atoms (fractional coordinates):
Ce 0.5000 0.0000 0.0000  0.40
Nd 0.0000 0.0000 0.5000  0.00
Nd 0.5000 0.5000 0.5000  0.01
Nd 0.0000 0.5000 0.0000  0.00
P 0.0000 0.2445 0.2445  -0.01
P 0.5000 0.7536 0.2464  -0.01
P 0.0000 0.7555 0.7555  -0.01
P 0.5000 0.2464 0.7536  -0.01

---

DFT (PBE) results for Ce2NdP3 after structural relaxation.

**E_form**: -1.51 eV/atom
**Magnetic moment**: 1.09 μB/cell

Cell lengths 4.1147, 5.8211, 7.1269 Å; angles 114.10, 106.78, 90.00 degrees
Last column: magnetic moment on the atom in μB.
Atoms (fractional coordinates):
Ce 0.8339 0.8339 0.1678  0.48
Ce 0.1661 0.1661 0.8322  0.48
Nd 0.5000 0.5000 0.5000  0.02
P 0.8290 0.3290 0.1580  -0.02
P 0.1710 0.6710 0.8420  -0.02
P 0.5000 0.0000 0.5000  -0.02

---

DFT (PBE) results for Ce3Nd5P8 after structural relaxation.

**E_form**: -1.53 eV/atom
**Magnetic moment**: 1.41 μB/cell

Cell lengths 8.2697, 8.2697, 8.2724 Å; angles 60.01, 60.01, 60.00 degrees
Last column: magnetic moment on the atom in μB.
Atoms (fractional coordinates):
Ce 0.5000 0.0000 0.5000  0.43
Ce 0.0000 0.0000 0.5000  0.43
Ce 0.0000 0.5000 0.5000  0.43
Nd 0.5000 0.0000 0.0000  0.01
Nd 0.5000 0.5000 0.0000  0.01
Nd 0.0000 0.0000 0.0000  0.00
Nd 0.0000 0.5000 0.0000  0.01
Nd 0.5000 0.5000 0.5000  0.00
P 0.2500 0.2500 0.7440  -0.01
P 0.2500 0.7560 0.7440  -0.01
P 0.7560 0.2500 0.7440  -0.01
P 0.7525 0.7525 0.7426  -0.01
P 0.7500 0.7500 0.2560  -0.01
P 0.7500 0.2440 0.2560  -0.01
P 0.2440 0.7500 0.2560  -0.01
P 0.2475 0.2475 0.2574  -0.01

---

DFT (PBE) results for Ce2NdP3 after structural relaxation.

**E_form**: -1.18 eV/atom
**Magnetic moment**: 2.93 μB/cell

Cell lengths 3.8574, 7.1252, 10.6108 Å; angles 90.00, 90.00, 90.00 degrees
Last column: magnetic moment on the atom in μB.
Atoms (fractional coordinates):
Ce 0.0000 0.9874 0.1549  0.65
Ce 0.5000 0.9926 0.5019  0.56
Ce 0.0000 0.4874 0.8451  0.65
Ce 0.5000 0.4926 0.4981  0.56
Nd 0.0000 0.9972 0.8354  0.09
Nd 0.0000 0.4972 0.1646  0.09
P 0.5000 0.2396 0.0239  -0.03
P 0.5000 0.2475 0.7084  -0.03
P 0.0000 0.2370 0.3750  -0.03
P 0.5000 0.7396 0.9761  -0.03
P 0.5000 0.7475 0.2916  -0.03
P 0.0000 0.7370 0.6250  -0.03